No. 1
# LaAgTe PBE optimized geometry
data_LaAgTe
_chemical_formula_sum 'La4 Ag4 Te4'
_symmetry_space_group_name_H-M 'F -4 3 m'
_symmetry_Int_Tables_number 216
_symmetry_space_group_name_Hall 'F -4 2 3'
_cell_length_a 7.451
_cell_length_b 7.451
_cell_length_c 7.451
_cell_angle_alpha 90.00
_cell_angle_beta 90.00
_cell_angle_gamma 90.00
loop_
_atom_site_label
_atom_site_type_symbol
_atom_site_fract_x
_atom_site_fract_y
_atom_site_fract_z
La1 La 0.000 0.000 0.000
Ag1 Ag 0.250 0.250 0.250
Te1 Te 0.250 0.250 0.750
# Volume ... 413.6 Å³/cell
# Formation energy without anion corrections ... -2.1 eV/f.u.
# Crystal system ... cubic
# Total energy ... -4.353 eV per atom
# M_tot ... 0.000 μB/atom

***

No. 2
# LaAgTe PBE optimized geometry
data_LaAgTe
_chemical_formula_sum 'La4 Ag4 Te4'
_symmetry_space_group_name_H-M 'F -4 3 m'
_symmetry_Int_Tables_number 216
_symmetry_space_group_name_Hall 'F -4 2 3'
_cell_length_a 7.116
_cell_length_b 7.116
_cell_length_c 7.116
_cell_angle_alpha 90.00
_cell_angle_beta 90.00
_cell_angle_gamma 90.00
loop_
_atom_site_label
_atom_site_type_symbol
_atom_site_fract_x
_atom_site_fract_y
_atom_site_fract_z
La1 La 0.000 0.000 0.000
Ag1 Ag 0.250 0.250 0.250
Te1 Te 0.000 0.000 0.500
# Volume ... 360.3 Å³/cell
# DOS(E_F) ... 10.425 states/eV per cell
# Formation energy without anion corrections ... -1.8 eV/f.u.
# Crystal system ... cubic
# Total energy ... -4.250 eV per atom
# M_tot ... 0.000 μB/atom

***

No. 3
# LaAg2Te PBE optimized geometry
data_LaAg2Te
_chemical_formula_sum 'La1 Ag2 Te1'
_symmetry_space_group_name_H-M 'P 4/m m m'
_symmetry_Int_Tables_number 123
_symmetry_space_group_name_Hall '-P 4 2'
_cell_length_a 4.462
_cell_length_b 4.462
_cell_length_c 5.201
_cell_angle_alpha 90.00
_cell_angle_beta 90.00
_cell_angle_gamma 90.00
loop_
_atom_site_label
_atom_site_type_symbol
_atom_site_fract_x
_atom_site_fract_y
_atom_site_fract_z
La1 La 0.000 0.000 0.000
Ag1 Ag 0.000 0.500 0.500
Te1 Te 0.500 0.500 0.000
# Volume ... 103.5 Å³/cell
# DOS(E_F) ... 2.622 states/eV per cell
# Formation energy without anion corrections ... -2.0 eV/f.u.
# Crystal system ... tetragonal
# Total energy ... -3.938 eV per atom
# M_tot ... 0.000 μB/atom

***

No. 4
# LaAg2Te PBE optimized geometry
data_LaAg2Te
_chemical_formula_sum 'La4 Ag8 Te4'
_symmetry_space_group_name_H-M 'I -4 2 d'
_symmetry_Int_Tables_number 122
_symmetry_space_group_name_Hall 'I -4 2bw'
_cell_length_a 4.421
_cell_length_b 4.421
_cell_length_c 22.604
_cell_angle_alpha 90.00
_cell_angle_beta 90.00
_cell_angle_gamma 90.00
loop_
_atom_site_label
_atom_site_type_symbol
_atom_site_fract_x
_atom_site_fract_y
_atom_site_fract_z
La1 La 0.000 0.000 0.000
Ag1 Ag 0.249 0.250 0.125
Te1 Te 0.000 0.000 0.500
# Volume ... 441.7 Å³/cell
# DOS(E_F) ... 6.205 states/eV per cell
# Formation energy without anion corrections ... -1.7 eV/f.u.
# Crystal system ... tetragonal
# Total energy ... -3.869 eV per atom
# M_tot ... 0.000 μB/atom

***

No. 5
# LaTmAg2Te4 PBE optimized geometry
data_LaTmAg2Te4
_chemical_formula_sum 'La2 Tm2 Ag4 Te8'
_symmetry_space_group_name_H-M 'I 2 2 2'
_symmetry_Int_Tables_number 23
_cell_length_a 7.586
_cell_length_b 7.710
_cell_length_c 8.638
_cell_angle_alpha 90.00
_cell_angle_beta 90.00
_cell_angle_gamma 90.00
loop_
_symmetry_equiv_pos_as_xyz
'x,y,z'
'-x,-y,z'
'x,-y,-z'
'-x,y,-z'
'x+1/2,y+1/2,z+1/2'
'-x+1/2,-y+1/2,z+1/2'
'x+1/2,-y+1/2,-z+1/2'
'-x+1/2,y+1/2,-z+1/2'
loop_
_atom_site_label
_atom_site_type_symbol
_atom_site_fract_x
_atom_site_fract_y
_atom_site_fract_z
La1 La 0.000 0.000 0.000
Tm1 Tm 0.000 0.000 0.500
Ag1 Ag 0.000 0.500 0.163
Te1 Te 0.225 0.234 0.317
# Volume ... 505.2 Å³/cell
# DOS(E_F) ... 2.070 states/eV per cell
# Formation energy without anion corrections ... -6.2 eV/f.u.
# Crystal system ... orthorhombic
# Total energy ... -4.235 eV per atom
# M_tot ... 0.000 μB/atom

***

No. 6
# La2TmAgTe5 PBE optimized geometry
data_La2TmAgTe5
_chemical_formula_sum 'La8 Tm4 Ag4 Te20'
_symmetry_space_group_name_H-M 'C m c 21'
_symmetry_Int_Tables_number 36
_cell_length_a 4.441
_cell_length_b 19.050
_cell_length_c 13.316
_cell_angle_alpha 90.00
_cell_angle_beta 90.00
_cell_angle_gamma 90.00
loop_
_symmetry_equiv_pos_as_xyz
'x,y,z'
'-x,-y,z+1/2'
'-x,y,z'
'x,-y,z+1/2'
'x+1/2,y+1/2,z'
'-x+1/2,-y+1/2,z+1/2'
'-x+1/2,y+1/2,z'
'x+1/2,-y+1/2,z+1/2'
loop_
_atom_site_label
_atom_site_type_symbol
_atom_site_fract_x
_atom_site_fract_y
_atom_site_fract_z
La1 La 0.000 0.112 0.000
La2 La 0.000 0.124 0.620
Tm1 Tm 0.000 0.192 0.323
Ag1 Ag 0.000 0.431 0.770
Te1 Te 0.000 0.044 0.386
Te2 Te 0.000 0.287 0.979
Te3 Te 0.000 0.304 0.658
Te4 Te 0.000 0.355 0.313
Te5 Te 0.000 0.499 0.089
# Volume ... 1126.4 Å³/cell
# DOS(E_F) ... 0.209 states/eV per cell
# Formation energy without anion corrections ... -11.5 eV/f.u.
# Crystal system ... orthorhombic
# Total energy ... -4.933 eV per atom
# M_tot ... 0.000 μB/atom

***

No. 7
# La2UAgTe5 PBE optimized geometry
data_La2UAgTe5
_chemical_formula_sum 'La8 U4 Ag4 Te20'
_symmetry_space_group_name_H-M 'C m c 21'
_symmetry_Int_Tables_number 36
_cell_length_a 4.444
_cell_length_b 19.071
_cell_length_c 13.472
_cell_angle_alpha 90.00
_cell_angle_beta 90.00
_cell_angle_gamma 90.00
loop_
_symmetry_equiv_pos_as_xyz
'x,y,z'
'-x,-y,z+1/2'
'-x,y,z'
'x,-y,z+1/2'
'x+1/2,y+1/2,z'
'-x+1/2,-y+1/2,z+1/2'
'-x+1/2,y+1/2,z'
'x+1/2,-y+1/2,z+1/2'
loop_
_atom_site_label
_atom_site_type_symbol
_atom_site_fract_x
_atom_site_fract_y
_atom_site_fract_z
La1 La 0.000 0.113 0.000
La2 La 0.000 0.125 0.621
U1 U 0.000 0.194 0.323
Ag1 Ag 0.000 0.435 0.767
Te1 Te 0.000 0.043 0.385
Te2 Te 0.000 0.290 0.983
Te3 Te 0.000 0.306 0.657
Te4 Te 0.000 0.359 0.314
Te5 Te 0.000 0.498 0.086
# Volume ... 1141.7 Å³/cell
# DOS(E_F) ... 31.157 states/eV per cell
# Formation energy without anion corrections ... -9.4 eV/f.u.
# Crystal system ... orthorhombic
# Total energy ... -5.460 eV per atom
# M_tot ... 0.320 μB/atom

***

No. 8
# LaTh2Ag PBE optimized geometry
data_LaTh2Ag
_chemical_formula_sum 'La3 Th6 Ag3'
_symmetry_space_group_name_H-M 'R -3 m'
_symmetry_Int_Tables_number 166
_symmetry_space_group_name_Hall '-R 3 2"'
_cell_length_a 3.4327
_cell_length_b 3.4327
_cell_length_c 35.8474
_cell_angle_alpha 90.00
_cell_angle_beta 90.00
_cell_angle_gamma 120.00
loop_
_atom_site_label
_atom_site_type_symbol
_atom_site_fract_x
_atom_site_fract_y
_atom_site_fract_z
La1 La 0.0000 0.0000 0.0000
Th1 Th 0.0000 0.0000 0.0950
Ag1 Ag 0.0000 0.0000 0.5000
# Volume ... 365.8 Å³/cell
# DOS(E_F) ... 15.372 states/eV per cell
# Crystal system ... trigonal
# Total energy ... -5.416 eV per atom
# M_tot ... 0.000 μB/atom
# ΔE_f ... 0.24 eV per atom

***

No. 9
# La4ThAg PBE optimized geometry
data_La4ThAg
_chemical_formula_sum 'La4 Th1 Ag1'
_symmetry_space_group_name_H-M 'P 4/m m m'
_symmetry_Int_Tables_number 123
_symmetry_space_group_name_Hall '-P 4 2'
_cell_length_a 3.696
_cell_length_b 3.696
_cell_length_c 14.561
_cell_angle_alpha 90.00
_cell_angle_beta 90.00
_cell_angle_gamma 90.00
loop_
_atom_site_label
_atom_site_type_symbol
_atom_site_fract_x
_atom_site_fract_y
_atom_site_fract_z
La1 La 0.000 0.000 0.136
La2 La 0.500 0.500 0.332
Th1 Th 0.000 0.000 0.500
Ag1 Ag 0.500 0.500 0.000
# Volume ... 198.9 Å³/cell
# DOS(E_F) ... 10.167 states/eV per cell
# Crystal system ... tetragonal
# Total energy ... -5.052 eV per atom
# M_tot ... 0.000 μB/atom
# ΔE_f ... -0.06 eV per atom

***

No. 10
# LaTh2Ag PBE optimized geometry
data_LaTh2Ag
_chemical_formula_sum 'La3 Th6 Ag3'
_symmetry_space_group_name_H-M 'R 3 m'
_symmetry_Int_Tables_number 160
_symmetry_space_group_name_Hall 'R 3 -2"'
_cell_length_a 3.5649
_cell_length_b 3.5649
_cell_length_c 33.2777
_cell_angle_alpha 90.00
_cell_angle_beta 90.00
_cell_angle_gamma 120.00
loop_
_atom_site_label
_atom_site_type_symbol
_atom_site_fract_x
_atom_site_fract_y
_atom_site_fract_z
La1 La 0.0000 0.0000 0.0000
Th1 Th 0.0000 0.0000 0.5753
Th2 Th 0.0000 0.0000 0.7585
Ag1 Ag 0.0000 0.0000 0.1669
# Volume ... 366.3 Å³/cell
# DOS(E_F) ... 12.726 states/eV per cell
# Crystal system ... trigonal
# Total energy ... -5.549 eV per atom
# M_tot ... 0.000 μB/atom
# ΔE_f ... 0.11 eV per atom

***

No. 11
# LaThAg3 PBE optimized geometry
data_LaThAg3
_chemical_formula_sum 'La4 Th4 Ag12'
_symmetry_space_group_name_H-M 'C m c m'
_symmetry_Int_Tables_number 63
_symmetry_space_group_name_Hall '-C 2c 2'
_cell_length_a 3.665
_cell_length_b 29.348
_cell_length_c 4.753
_cell_angle_alpha 90.00
_cell_angle_beta 90.00
_cell_angle_gamma 90.00
loop_
_atom_site_label
_atom_site_type_symbol
_atom_site_fract_x
_atom_site_fract_y
_atom_site_fract_z
La1 La 0.000 0.073 0.250
Th1 Th 0.000 0.212 0.750
Ag1 Ag 0.000 0.326 0.750
Ag2 Ag 0.000 0.380 0.250
Ag3 Ag 0.000 0.475 0.250
# Volume ... 511.3 Å³/cell
# DOS(E_F) ... 19.948 states/eV per cell
# Crystal system ... orthorhombic
# Total energy ... -4.372 eV per atom
# M_tot ... 0.000 μB/atom
# ΔE_f ... -0.19 eV per atom

***

No. 12
# LaThAg2 PBE optimized geometry
data_LaThAg2
_chemical_formula_sum 'La1 Th1 Ag2'
_symmetry_space_group_name_H-M 'P 4/m m m'
_symmetry_Int_Tables_number 123
_symmetry_space_group_name_Hall '-P 4 2'
_cell_length_a 3.688
_cell_length_b 3.688
_cell_length_c 7.937
_cell_angle_alpha 90.00
_cell_angle_beta 90.00
_cell_angle_gamma 90.00
loop_
_atom_site_label
_atom_site_type_symbol
_atom_site_fract_x
_atom_site_fract_y
_atom_site_fract_z
La1 La 0.000 0.000 0.000
Th1 Th 0.000 0.000 0.500
Ag1 Ag 0.500 0.500 0.255
# Volume ... 107.9 Å³/cell
# DOS(E_F) ... 3.781 states/eV per cell
# Crystal system ... tetragonal
# Total energy ... -4.643 eV per atom
# M_tot ... 0.058 μB/atom
# ΔE_f ... -0.13 eV per atom

***

No. 13
# La4ThAg5 PBE optimized geometry
data_La4ThAg5
_chemical_formula_sum 'La4 Th1 Ag5'
_symmetry_space_group_name_H-M 'P 4/m m m'
_symmetry_Int_Tables_number 123
_symmetry_space_group_name_Hall '-P 4 2'
_cell_length_a 3.789
_cell_length_b 3.789
_cell_length_c 19.237
_cell_angle_alpha 90.00
_cell_angle_beta 90.00
_cell_angle_gamma 90.00
loop_
_atom_site_label
_atom_site_type_symbol
_atom_site_fract_x
_atom_site_fract_y
_atom_site_fract_z
La1 La 0.000 0.000 0.101
La2 La 0.000 0.000 0.303
Th1 Th 0.000 0.000 0.500
Ag1 Ag 0.500 0.500 0.000
Ag2 Ag 0.500 0.500 0.202
Ag3 Ag 0.500 0.500 0.404
# Volume ... 276.2 Å³/cell
# DOS(E_F) ... 9.809 states/eV per cell
# Crystal system ... tetragonal
# Total energy ... -4.344 eV per atom
# M_tot ... 0.081 μB/atom
# ΔE_f ... -0.21 eV per atom